TmPuFe2O6 | PBE with a Hubbard U | optimized geometry

space group	P2_1/c, No. 14
density of states at the Fermi level	7.7	states/eV/f.u.
raw total energy	-8.37	eV per atom
ρ	8.06	Mg/m³

abc: 5.5618 5.5894 8.2279
angles: 90.00 90.65 90.00
Last column: nearest neighbours and their distance in Å.
Fractional coordinates of all 20 atoms:
O: 0.1700 0.1605 0.4256  1 Fe 2.06, 1 Pu 2.13, 1 Tm 2.21
Tm: 0.0000 0.5000 0.5000  6 O 2.21-2.26
O: 0.8300 0.8395 0.5744  1 Fe 2.06, 1 Pu 2.13, 1 Tm 2.21
Fe: 0.9822 0.9690 0.2524  4 O 2.06-2.11
O: 0.3482 0.6754 0.4252  1 Pu 2.09, 1 Fe 2.09, 1 Tm 2.26
O: 0.3300 0.6605 0.0744  1 Fe 2.06, 1 Pu 2.13, 1 Tm 2.21
O: 0.3700 0.8901 0.7497  2 Fe 2.10-2.11, 1 Tm 2.26, 1 Pu 2.27
O: 0.8482 0.8246 0.9252  1 Pu 2.09, 1 Fe 2.09, 1 Tm 2.26
Fe: 0.5178 0.4690 0.2476  4 O 2.06-2.11
O: 0.6700 0.3395 0.9256  1 Fe 2.06, 1 Pu 2.13, 1 Tm 2.21
Fe: 0.4822 0.5310 0.7524  4 O 2.06-2.11
O: 0.1518 0.1754 0.0748  1 Pu 2.09, 1 Fe 2.09, 1 Tm 2.26
O: 0.6300 0.1099 0.2503  2 Fe 2.10-2.11, 1 Tm 2.26, 1 Pu 2.27
Pu: 0.5000 0.0000 0.5000  6 O 2.09-2.27
O: 0.1300 0.3901 0.7503  2 Fe 2.10-2.11, 1 Tm 2.26, 1 Pu 2.27
Tm: 0.5000 0.0000 0.0000  6 O 2.21-2.26
O: 0.6518 0.3246 0.5748  1 Pu 2.09, 1 Fe 2.09, 1 Tm 2.26
Fe: 0.0178 0.0310 0.7476  4 O 2.06-2.11
Pu: 0.0000 0.5000 0.0000  6 O 2.09-2.27
O: 0.8700 0.6099 0.2497  2 Fe 2.10-2.11, 1 Tm 2.26, 1 Pu 2.27